Density functional theory data (GGA+U) for an optimized crystal structure of VTcBr2F.

Cell lengths 5.188, 5.188, 4.017 Å; angles 90.00, 90.00, 90.00 degrees
Space group P4/mmm (No. 123)
Inequivalent atoms, fractional coordinates:
V (0.000, 0.000, 0.000)
Tc (0.500, 0.500, 0.500)
Br (0.000, 0.500, 0.500)
F (0.500, 0.500, 0.000)

Computed properties:
DOS(E_F) in states/eV per cell: 6.769
Total energy in eV/atom: -4.511